(1)
# Zn3CoCu

An optimized crystal structure of Zn3CoCu (PBE, the Alexandria database).

POSCAR file:
```
Zn3CoCu
1.0
4.496 0.000 0.000
0.000 4.496 0.000
0.000 0.000 4.496
Zn Co Cu
3 1 1
direct
0.000 0.500 0.000
0.000 0.000 0.500
0.500 0.000 0.000
0.000 0.000 0.000
0.500 0.500 0.500
```

Output
Formation energy from the elements   0.603 eV/atom
SG   Pm-3m (221)


(2)
# ZnCo2Cu

An optimized crystal structure of ZnCo2Cu (PBE, the Alexandria database).

POSCAR file:
```
ZnCo2Cu
1.0
4.382 -0.001 -0.008
3.634 2.449 -0.008
0.721 0.220 4.412
Co Cu Zn
2 1 1
direct
0.004 0.004 0.975
0.747 0.747 0.771
0.498 0.498 0.493
0.251 0.251 0.260
```

Output
Formation energy from the elements   0.055 eV/atom
SG   Cm (8)


(3)
# Zn2CoCu

An optimized crystal structure of Zn2CoCu (PBE, the Alexandria database).

POSCAR file:
```
Zn2CoCu
1.0
-4.670 -4.249 1.851
4.148 -2.659 4.360
-1.060 -1.808 4.869
Zn Co Cu
4 2 2
direct
0.623 0.125 0.250
0.127 0.625 0.250
0.375 0.377 0.750
0.875 0.873 0.750
0.500 0.500 0.000
0.250 0.750 0.500
0.000 0.000 0.000
0.750 0.250 0.500
```

Output
Formation energy from the elements   0.307 eV/atom
SG   I-42d (122)


(4)
# ZnCo4Cu

An optimized crystal structure of ZnCo4Cu (PBE, the Alexandria database).

POSCAR file:
```
ZnCo4Cu
1.0
0.000 3.326 3.326
3.326 0.000 3.326
3.326 3.326 0.000
Zn Co Cu
1 4 1
direct
0.000 0.000 0.000
0.875 0.375 0.375
0.375 0.375 0.875
0.375 0.875 0.375
0.375 0.375 0.375
0.750 0.750 0.750
```

Output
Formation energy from the elements   0.205 eV/atom
SG   F-43m (216)


(5)
# ZnCo2Cu

An optimized crystal structure of ZnCo2Cu (PBE, the Alexandria database).

POSCAR file:
```
ZnCo2Cu
1.0
-4.334 -1.271 0.419
-0.468 -4.449 0.749
2.522 3.263 1.888
Co Cu Zn
2 1 1
direct
0.000 0.000 0.000
0.500 0.500 0.000
0.250 0.750 0.500
0.750 0.250 0.500
```

Output
Formation energy from the elements   0.093 eV/atom
SG   I4/mmm (139)


(6)
# ZnCoCu

An optimized crystal structure of ZnCoCu (PBE, the Alexandria database).

POSCAR file:
```
ZnCoCu
1.0
-1.916 1.152 -1.289
-0.519 -1.395 2.107
0.691 5.181 3.601
Co Cu Zn
1 1 1
direct
0.000 0.000 0.002
0.667 0.333 0.327
0.333 0.667 0.671
```

Output
Formation energy from the elements   0.055 eV/atom
SG   P3m1 (156)


(7)
# ZnCoCu2

An optimized crystal structure of ZnCoCu2 (PBE, the Alexandria database).

POSCAR file:
```
ZnCoCu2
1.0
3.467 0.000 0.000
0.000 3.467 0.000
1.734 1.734 8.789
Zn Co Cu
2 2 4
direct
0.000 0.000 0.000
0.750 0.250 0.500
0.500 0.500 0.000
0.250 0.750 0.500
0.623 0.125 0.250
0.127 0.625 0.250
0.375 0.377 0.750
0.875 0.873 0.750
```

Output
Formation energy from the elements   0.340 eV/atom
SG   I-42d (122)


(8)
# ZnCo2Cu

An optimized crystal structure of ZnCo2Cu (PBE, the Alexandria database).

POSCAR file:
```
ZnCo2Cu
1.0
2.548 0.000 0.000
1.274 2.207 0.000
1.274 0.736 8.455
Zn Co Cu
1 2 1
direct
0.500 0.500 0.501
0.082 0.082 0.753
0.251 0.251 0.247
0.667 0.667 0.000
```

Output
Formation energy from the elements   0.104 eV/atom
SG   R3m (160)